1.
Computed, not measured: AsPt3Pb after structural relaxation at the GGA-PBE level of DFT.

Results
**Space group**: Pm-3m, No. 221
**DOS(E_F)**: 2.32 states/eV/cell
**Energy of formation**: 1.30 eV/atom
**E_tot**: -3.997 eV/atom

a b c (Å): 5.038 5.038 5.038
angles (deg): 90.00 90.00 90.00
Sites, in units of the cell vectors:
As 0.000 0.000 0.000
Pt 0.000 0.500 0.500
Pt 0.500 0.000 0.500
Pt 0.500 0.500 0.000
Pb 0.500 0.500 0.500



2.
Computed, not measured: B2H5Pd12 after structural relaxation at the GGA-PBE level of DFT.

Results
**Space group**: C2/m, No. 12
**DOS(E_F)**: 7.49 states/eV/cell
**E_tot**: -4.962 eV/atom

a b c (Å): 6.121 6.121 7.353
angles (deg): 103.83 103.83 54.77
Sites, in units of the cell vectors:
B 0.241 0.759 0.000
B 0.759 0.241 0.000
H 0.000 0.000 0.500
H 0.248 0.248 0.541
H 0.305 0.305 0.266
H 0.695 0.695 0.734
H 0.752 0.752 0.459
Pd 0.049 0.049 0.808
Pd 0.060 0.557 0.853
Pd 0.127 0.622 0.497
Pd 0.378 0.873 0.503
Pd 0.443 0.940 0.147
Pd 0.456 0.456 0.190
Pd 0.544 0.544 0.810
Pd 0.557 0.060 0.853
Pd 0.622 0.127 0.497
Pd 0.873 0.378 0.503
Pd 0.940 0.443 0.147
Pd 0.951 0.951 0.192



3.
Computed, not measured: B5C7 after structural relaxation at the GGA-PBE level of DFT.

Results
**Space group**: P1, No. 1
**DOS(E_F)**: 1.63 states/eV/cell
**Energy of formation**: 0.32 eV/atom
**E_tot**: -7.839 eV/atom

a b c (Å): 3.771 4.465 5.176
angles (deg): 103.66 92.25 110.42
Sites, in units of the cell vectors:
B 0.000 0.000 0.000
B 0.002 0.976 0.391
B 0.292 0.692 0.128
B 0.626 0.936 0.745
B 0.974 0.612 0.818
C 0.004 0.632 0.384
C 0.270 0.612 0.599
C 0.366 0.303 0.526
C 0.372 0.332 0.036
C 0.591 0.295 0.781
C 0.627 0.333 0.287
C 0.681 0.004 0.205



4.
Computed, not measured: PmHfNiRu after structural relaxation at the GGA-PBE level of DFT.

Results
**Space group**: F-43m, No. 216
**DOS(E_F)**: 2.52 states/eV/cell
**Energy of formation**: -0.29 eV/atom
**E_tot**: -7.733 eV/atom

a b c (Å): 4.737 4.737 4.737
angles (deg): 60.00 60.00 60.00
Sites, in units of the cell vectors:
Pm 0.000 0.000 0.000
Hf 0.500 0.500 0.500
Ni 0.250 0.250 0.250
Ru 0.750 0.750 0.750



5.
Computed, not measured: Tl2Ge2I7 after structural relaxation at the GGA-PBE level of DFT.

Results
**Space group**: C2/m, No. 12
**DOS(E_F)**: 3.76 states/eV/cell
**Uncorrected formation energy**: -0.369 eV per atom
**E_tot**: -2.626 eV/atom

a b c (Å): 9.067 9.067 7.186
angles (deg): 98.27 98.27 96.67
Sites, in units of the cell vectors:
Tl 0.209 0.791 0.000
Tl 0.791 0.209 0.000
Ge 0.277 0.277 0.578
Ge 0.723 0.723 0.422
I 0.082 0.403 0.790
I 0.098 0.098 0.266
I 0.403 0.082 0.790
I 0.500 0.500 0.500
I 0.597 0.918 0.210
I 0.902 0.902 0.734
I 0.918 0.597 0.210



6.
Computed, not measured: Pm4Th3UN8 after structural relaxation at the GGA-PBE level of DFT.

Results
**Space group**: R-3m, No. 166
**DOS(E_F)**: 7.44 states/eV/cell
**Uncorrected formation energy**: -1.513 eV per atom
**E_tot**: -8.960 eV/atom

a b c (Å): 7.206 7.206 7.206
angles (deg): 60.27 60.27 60.27
Sites, in units of the cell vectors:
Pm 0.000 0.000 0.000
Pm 0.000 0.500 0.500
Pm 0.500 0.000 0.500
Pm 0.500 0.500 0.000
Th 0.000 0.000 0.500
Th 0.000 0.500 0.000
Th 0.500 0.000 0.000
U 0.500 0.500 0.500
N 0.246 0.246 0.246
N 0.265 0.731 0.731
N 0.269 0.269 0.735
N 0.269 0.735 0.269
N 0.731 0.265 0.731
N 0.731 0.731 0.265
N 0.735 0.269 0.269
N 0.754 0.754 0.754



What did the fourth record say?
Computed, not measured: PmHfNiRu after structural relaxation at the GGA-PBE level of DFT.

Results
**Space group**: F-43m, No. 216
**DOS(E_F)**: 2.52 states/eV/cell
**Energy of formation**: -0.29 eV/atom
**E_tot**: -7.733 eV/atom

a b c (Å): 4.737 4.737 4.737
angles (deg): 60.00 60.00 60.00
Sites, in units of the cell vectors:
Pm 0.000 0.000 0.000
Hf 0.500 0.500 0.500
Ni 0.250 0.250 0.250
Ru 0.750 0.750 0.750